(1)
The following is a PBE calculation of an optimized crystal structure of KLiBe, from the Alexandria database.

Lattice parameters (Å, degrees): 6.0762 4.1124 6.7932 90.00 94.13 90.00
Element x y z (fractional)
Li 0.5045 0.1967 0.6841
Be 0.4904 0.1989 0.0413
Li 0.4955 0.6967 0.3159
K 0.0082 0.6946 0.7669
Be 0.5096 0.6989 0.9587
K 0.9918 0.1946 0.2331

Properties
* ΔE to the lowest computed polymorph: 0.362 eV/f.u.
* final energy: -1.827 eV/atom


(2)
The following is a PBE calculation of an optimized crystal structure of KLiBe, from the Alexandria database.

Lattice parameters (Å, degrees): 4.0310 4.0383 11.9290 80.96 89.50 60.01
Element x y z (fractional)
Li 0.4912 0.4656 0.4348
Be 0.1870 0.0693 0.5370
Be 0.8533 0.7364 0.5371
K 0.2772 0.8710 0.8641
Li 0.5479 0.3412 0.6389
K 0.0918 0.2772 0.2088

Properties
* ΔE to the lowest computed polymorph: 0.001 eV/f.u.
* final energy: -1.947 eV/atom


(3)
The following is a PBE calculation of an optimized crystal structure of KLiBe, from the Alexandria database.

Lattice parameters (Å, degrees): 5.2425 5.2425 2.9972 90.00 90.00 120.00
Element x y z (fractional)
K 0.6667 0.3333 0.4946
Li 0.3333 0.6667 0.5116
Be 0.0000 0.0000 0.9938

Properties
* ΔE to the lowest computed polymorph: 1.476 eV/f.u.
* final energy: -1.455 eV/atom


(4)
The following is a PBE calculation of an optimized crystal structure of K2LiBe, from the Alexandria database.

Lattice parameters (Å, degrees): 4.6419 4.6419 9.2657 75.68 75.68 59.83
Element x y z (fractional)
K 0.7881 0.7881 0.6412
Be 0.2084 0.2084 0.3750
Li 0.5414 0.5414 0.3750
K 0.9622 0.9622 0.1088

Properties
* final energy: -1.436 eV/atom


(5)
The following is a PBE calculation of an optimized crystal structure of K2LiBe, from the Alexandria database.

Lattice parameters (Å, degrees): 11.2188 11.2188 11.2188 21.38 21.38 21.38
Element x y z (fractional)
Be 0.7500 0.7500 0.7500
K 0.0114 0.0114 0.0114
K 0.4886 0.4886 0.4886
Li 0.2500 0.2500 0.2500

Properties
* final energy: -1.197 eV/atom


(6)
The following is a PBE calculation of an optimized crystal structure of K2LiBe, from the Alexandria database.

Lattice parameters (Å, degrees): 9.1790 5.6219 4.6983 89.92 59.33 127.10
Element x y z (fractional)
Be 0.5000 0.5000 0.0000
K 0.0000 0.0000 0.0000
Li 0.0000 0.5000 0.5000
K 0.5000 0.0000 0.5000

Properties
* final energy: -1.271 eV/atom


(7)
The following is a PBE calculation of an optimized crystal structure of K2LiBe, from the Alexandria database.

Lattice parameters (Å, degrees): 12.2656 12.2656 9.0276 47.21 47.21 90.00
Element x y z (fractional)
Li 0.5000 0.5000 0.0000
K 0.8750 0.0394 0.7500
K 0.3750 0.2106 0.7500
Be 0.0000 0.0000 0.0000
Be 0.7500 0.2500 0.5000
K 0.9606 0.6250 0.2500
K 0.7894 0.1250 0.2500
Li 0.2500 0.7500 0.5000

Properties
* final energy: -1.333 eV/atom


(8)
The following is a PBE calculation of an optimized crystal structure of KLiBe, from the Alexandria database.

Lattice parameters (Å, degrees): 5.0698 5.0698 5.0698 60.00 60.00 60.00
Element x y z (fractional)
Li 0.2500 0.2500 0.2500
K 0.5000 0.5000 0.5000
Be 0.0000 0.0000 0.0000

Properties
* ΔE to the lowest computed polymorph: 1.837 eV/f.u.
* final energy: -1.335 eV/atom


Size of the total moment (μB per formula unit)
0.000 0.000 0.000 0.000 0.001 0.000 0.000 0.000
Volume (Å³/cell)
169.3 165.5 71.3 165.4 164.4 148.5 376.9 92.1
D(E_F) (states/eV/atom)
0.499 0.362 0.805 0.734 0.953 0.604 1.043 0.421